Material: CdTcAg4
Method: DFT, GGA-PBEsol
State: relaxed

Geometry as CIF:
```
data_CdTcAg4
_cell_length_a 7.504
_cell_length_b 7.504
_cell_length_c 7.504
_cell_angle_alpha 90.00
_cell_angle_beta 90.00
_cell_angle_gamma 90.00
_symmetry_space_group_name_H-M 'F -4 3 m'
_symmetry_Int_Tables_number 216
_symmetry_space_group_name_Hall 'F -4 2 3'
loop_
_atom_site_label
_atom_site_fract_x
_atom_site_fract_y
_atom_site_fract_z
Cd1 0.000 0.000 0.000
Tc1 0.250 0.250 0.750
Ag1 0.125 0.125 0.375
```

- E_tot (eV per atom) = -3.731

---

Material: LaAl2GaCu
Method: DFT, GGA-PBEsol
State: relaxed

Geometry as CIF:
```
data_LaAl2GaCu
_cell_length_a 5.730
_cell_length_b 5.730
_cell_length_c 5.018
_cell_angle_alpha 90.00
_cell_angle_beta 90.00
_cell_angle_gamma 90.00
_symmetry_space_group_name_H-M 'P 4/m m m'
_symmetry_Int_Tables_number 123
_symmetry_space_group_name_Hall '-P 4 2'
loop_
_atom_site_label
_atom_site_fract_x
_atom_site_fract_y
_atom_site_fract_z
La1 0.000 0.000 0.000
Al1 0.000 0.500 0.000
Ga1 0.500 0.500 0.500
Cu1 0.000 0.000 0.500
```

- E_tot (eV per atom) = -2.923

---

Material: Ta2TlTc
Method: DFT, GGA-PBEsol
State: relaxed

Geometry as CIF:
```
data_Ta2TlTc
_cell_length_a 2.923
_cell_length_b 4.567
_cell_length_c 5.462
_cell_angle_alpha 90.00
_cell_angle_beta 100.05
_cell_angle_gamma 90.00
_symmetry_space_group_name_H-M 'P 1 m 1'
_symmetry_Int_Tables_number 6
loop_
_symmetry_equiv_pos_as_xyz
'x,y,z'
'x,-y,z'
loop_
_atom_site_label
_atom_site_fract_x
_atom_site_fract_y
_atom_site_fract_z
Ta1 0.000 0.000 0.000
Ta2 0.287 0.500 0.738
Tl1 0.671 0.000 0.481
Tc1 0.715 0.500 0.175
```

- E_tot (eV per atom) = -9.488
- E above lowest polymorph (kJ/mol of formula units) = 0

---

Material: NdAgSn
Method: DFT, GGA-PBEsol
State: relaxed

Geometry as CIF:
```
data_NdAgSn
_cell_length_a 4.7332
_cell_length_b 4.7332
_cell_length_c 7.5033
_cell_angle_alpha 90.00
_cell_angle_beta 90.00
_cell_angle_gamma 120.00
_symmetry_space_group_name_H-M 'P 63 m c'
_symmetry_Int_Tables_number 186
_symmetry_space_group_name_Hall 'P 6c -2c'
loop_
_atom_site_label
_atom_site_fract_x
_atom_site_fract_y
_atom_site_fract_z
Nd1 0.0000 0.0000 0.0000
Ag1 0.3333 0.6667 0.1961
Sn1 0.3333 0.6667 0.7791
```

- E_tot (eV per atom) = -4.908

---

| no. | calculated formation energy (eV per formula unit) | magnetization (μB/atom) |
| --- | --- | --- |
| 1 | 3.32 | 0.471 |
| 2 | 6.59 | 0.000 |
| 3 | 1.05 | 0.000 |
| 4 | -1.99 | 0.000 |